Entry from Alexandria: LaW3 after structural relaxation (PBEsol).

Lattice parameters (Å, degrees): 2.8747 2.8747 10.1819 90.00 90.00 120.00
Sites, in units of the cell vectors:
La  0.0000  0.0000  0.0000
W  0.0000  0.0000  0.5000
W  0.6667  0.3333  0.2753
W  0.6667  0.3333  0.7247

offset from the most stable computed form = 367.0 meV/atom
uncorrected energy = -10.854 eV per atom
symmetry = P-6m2
total moment = 0.0 μB per cell



Entry from Alexandria: LaY2W after structural relaxation (PBEsol).

Lattice parameters (Å, degrees): 3.6054 5.3801 6.2542 115.48 106.75 90.00
Sites, in units of the cell vectors:
La  0.5486  0.0486  0.0973
Y  0.7520  0.7520  0.5040
W  0.2399  0.2399  0.4799
Y  0.9594  0.4594  0.9188

offset from the most stable computed form = 0.0 meV/atom
uncorrected energy = -7.753 eV per atom
symmetry = Imm2
total moment = 0.0 μB per cell



Entry from Alexandria: La2YW after structural relaxation (PBEsol).

Lattice parameters (Å, degrees): 3.3219 4.8450 6.5733 90.00 102.24 90.00
Sites, in units of the cell vectors:
Y  0.4298  0.5000  0.7120
W  0.9022  0.0000  0.5185
La  0.0135  0.0000  0.9961
La  0.6545  0.5000  0.2733

offset from the most stable computed form = 0.0 meV/atom
uncorrected energy = -7.317 eV per atom
symmetry = Pm
total moment = 0.0 μB per cell



Entry from Alexandria: La2YW after structural relaxation (PBEsol).

Lattice parameters (Å, degrees): 5.2087 5.2087 5.2087 60.00 60.00 60.00
Sites, in units of the cell vectors:
Y  0.2500  0.2500  0.2500
La  0.7500  0.7500  0.7500
W  0.5000  0.5000  0.5000
La  0.0000  0.0000  0.0000

offset from the most stable computed form = 53.6 meV/atom
uncorrected energy = -7.263 eV per atom
symmetry = F-43m
total moment = 0.0 μB per cell



Entry from Alexandria: LaY3W after structural relaxation (PBEsol).

Lattice parameters (Å, degrees): 5.4291 5.4291 5.4291 90.00 90.00 90.00
Sites, in units of the cell vectors:
Y  0.0000  0.0000  0.5000
La  0.5000  0.5000  0.5000
Y  0.0000  0.5000  0.0000
Y  0.5000  0.0000  0.0000
W  0.0000  0.0000  0.0000

uncorrected energy = -7.406 eV per atom
symmetry = Pm-3m
total moment = 0.0 μB per cell



Entry from Alexandria: LaY2W after structural relaxation (PBEsol).

Lattice parameters (Å, degrees): 3.1391 4.8549 6.5636 90.00 90.00 90.00
Sites, in units of the cell vectors:
Y  0.0000  0.0000  0.9711
La  0.0000  0.0000  0.5278
W  0.5000  0.5000  0.7628
Y  0.5000  0.5000  0.2384

offset from the most stable computed form = 107.7 meV/atom
uncorrected energy = -7.645 eV per atom
symmetry = Pmm2
total moment = 0.0 μB per cell



Entry from Alexandria: La2YW after structural relaxation (PBEsol).

Lattice parameters (Å, degrees): 3.2573 3.2573 10.9930 90.00 90.00 113.98
Sites, in units of the cell vectors:
La  0.0000  0.0000  0.7044
W  0.5000  0.5000  0.5000
Y  0.5000  0.5000  0.0000
La  0.0000  0.0000  0.2956

offset from the most stable computed form = 39.5 meV/atom
uncorrected energy = -7.277 eV per atom
symmetry = Cmmm
total moment = 0.0 μB per cell



Entry from Alexandria: LaZnW after structural relaxation (PBEsol).

Lattice parameters (Å, degrees): 2.9740 3.8132 5.9126 108.81 104.57 90.00
Sites, in units of the cell vectors:
La  0.0030  0.0030  0.0060
Zn  0.2971  0.2971  0.5941
W  0.6999  0.6999  0.3998

offset from the most stable computed form = 0.0 meV/atom
uncorrected energy = -6.428 eV per atom
symmetry = Imm2
total moment = 0.0 μB per cell



Number 1: formation enthalpy at 0 K 81 kJ/mol of atoms, DOS(E_F) 5.092 states/eV/cell. Number 2: formation enthalpy at 0 K 43 kJ/mol of atoms, DOS(E_F) 4.184 states/eV/cell. Number 3: formation enthalpy at 0 K 50 kJ/mol of atoms, DOS(E_F) 4.111 states/eV/cell. Number 4: formation enthalpy at 0 K 55 kJ/mol of atoms, DOS(E_F) 4.287 states/eV/cell. Number 5: formation enthalpy at 0 K 50 kJ/mol of atoms, DOS(E_F) 6.889 states/eV/cell. Number 6: formation enthalpy at 0 K 54 kJ/mol of atoms, DOS(E_F) 5.630 states/eV/cell. Number 7: formation enthalpy at 0 K 53 kJ/mol of atoms, DOS(E_F) 5.668 states/eV/cell. Number 8: formation enthalpy at 0 K 47 kJ/mol of atoms, DOS(E_F) 2.673 states/eV/cell.